(1)
Computed, not measured: a geometry-optimized NpTi2Pd9 structure at the PBE level of DFT.

Values from the calculation:
VASP energy (eV/atom): -6.85
Energy of formation from the pure elements (eV/atom): -0.56

a b c (Å): 4.007 4.007 11.997
angles (deg): 90.00 90.00 90.00
Space group P4/mmm (No. 123)
Unique sites:
Np (0.000, 0.000, 0.000)
Ti (0.000, 0.000, 0.338)
Pd (0.000, 0.500, 0.182)
Pd (0.000, 0.500, 0.500)
Pd (0.500, 0.500, 0.000)
Pd (0.500, 0.500, 0.341)

---

(2)
Computed, not measured: a geometry-optimized Np3TiPd12 structure at the PBE level of DFT.

Values from the calculation:
VASP energy (eV/atom): -7.29
Energy of formation from the pure elements (eV/atom): -0.48

a b c (Å): 4.091 4.091 16.406
angles (deg): 90.00 90.00 90.00
Space group P4/mmm (No. 123)
Unique sites:
Np (0.000, 0.000, 0.000)
Np (0.000, 0.000, 0.257)
Ti (0.000, 0.000, 0.500)
Pd (0.000, 0.500, 0.129)
Pd (0.000, 0.500, 0.387)
Pd (0.500, 0.500, 0.000)
Pd (0.500, 0.500, 0.258)
Pd (0.500, 0.500, 0.500)

---

(3)
Computed, not measured: a geometry-optimized NpTiPd6 structure at the PBE level of DFT.

Values from the calculation:
VASP energy (eV/atom): -7.02
Energy of formation from the pure elements (eV/atom): -0.52

a b c (Å): 4.045 4.045 8.070
angles (deg): 90.00 90.00 90.00
Space group P4/mmm (No. 123)
Unique sites:
Np (0.000, 0.000, 0.000)
Ti (0.000, 0.000, 0.500)
Pd (0.000, 0.500, 0.267)
Pd (0.500, 0.500, 0.000)
Pd (0.500, 0.500, 0.500)

---

(4)
Computed, not measured: a geometry-optimized NpTl4Pd15 structure at the PBE level of DFT.

Values from the calculation:
VASP energy (eV/atom): -5.24
Energy of formation from the pure elements (eV/atom): -0.22

a b c (Å): 4.081 4.081 20.547
angles (deg): 90.00 90.00 90.00
Space group P4/mmm (No. 123)
Unique sites:
Np (0.000, 0.000, 0.000)
Tl (0.000, 0.000, 0.203)
Tl (0.000, 0.000, 0.401)
Pd (0.000, 0.500, 0.096)
Pd (0.000, 0.500, 0.300)
Pd (0.000, 0.500, 0.500)
Pd (0.500, 0.500, 0.000)
Pd (0.500, 0.500, 0.198)
Pd (0.500, 0.500, 0.400)

---

Copy entry 4 word for word.
Computed, not measured: a geometry-optimized NpTl4Pd15 structure at the PBE level of DFT.

Values from the calculation:
VASP energy (eV/atom): -5.24
Energy of formation from the pure elements (eV/atom): -0.22

a b c (Å): 4.081 4.081 20.547
angles (deg): 90.00 90.00 90.00
Space group P4/mmm (No. 123)
Unique sites:
Np (0.000, 0.000, 0.000)
Tl (0.000, 0.000, 0.203)
Tl (0.000, 0.000, 0.401)
Pd (0.000, 0.500, 0.096)
Pd (0.000, 0.500, 0.300)
Pd (0.000, 0.500, 0.500)
Pd (0.500, 0.500, 0.000)
Pd (0.500, 0.500, 0.198)
Pd (0.500, 0.500, 0.400)